Computed, not measured: a geometry-optimized SrZrNbIr2 structure at the GGA-PBE level of DFT.

Total DFT energy (no corrections) = -0.59828 Ry per atom
Energy relative to the elements = -0.5357 eV per atom
Space-group type = I-4m2, No. 119

a b c (Å): 4.561 4.561 6.289
angles (deg): 111.26 111.26 90.00
Element x y z (fractional)
Zr (0.750, 0.250, 0.500)
Ir (0.623, 0.623, 0.246)
Ir (0.377, 0.377, 0.754)
Nb (0.250, 0.750, 0.500)
Sr (0.000, 0.000, 0.000)

=====

Computed, not measured: a geometry-optimized TaNb6Ir structure at the GGA-PBE level of DFT.

Energy relative to the lowest polymorph listed for this composition = 0.013 eV per atom
Total DFT energy (no corrections) = -0.75981 Ry per atom
Energy relative to the elements = -0.1962 eV per atom
Space-group type = Pm-3, No. 200

a b c (Å): 7.406 7.406 5.234
angles (deg): 45.01 44.99 59.97
Element x y z (fractional)
Nb (0.247, 0.000, 0.254)
Nb (0.753, 0.000, 0.746)
Nb (0.500, 0.247, 0.253)
Nb (0.500, 0.753, 0.747)
Nb (0.000, 0.500, 0.252)
Nb (0.000, 0.500, 0.748)
Ir (0.000, 0.000, 0.000)
Ta (0.500, 0.500, 0.500)

=====

Computed, not measured: a geometry-optimized Ta2Nb6Ir structure at the GGA-PBE level of DFT.

Total DFT energy (no corrections) = -0.76213 Ry per atom
Energy relative to the elements = -0.0377 eV per atom
Space-group type = C2/m, No. 12

a b c (Å): 4.754 5.218 7.601
angles (deg): 69.93 81.96 65.95
Element x y z (fractional)
Nb (0.834, 0.497, 0.177)
Nb (0.667, 0.670, 0.500)
Nb (0.166, 0.503, 0.823)
Nb (0.333, 0.330, 0.500)
Nb (0.834, 0.173, 0.823)
Nb (0.166, 0.827, 0.177)
Ta (0.500, 0.164, 0.172)
Ta (0.500, 0.836, 0.828)
Ir (0.000, 0.000, 0.500)

=====

Computed, not measured: a geometry-optimized Ta6Nb3Ir structure at the GGA-PBE level of DFT.

Energy relative to the lowest polymorph listed for this composition = 0.000 eV per atom
Total DFT energy (no corrections) = -0.82231 Ry per atom
Energy relative to the elements = -0.1695 eV per atom
Space-group type = P2_1/m, No. 11

a b c (Å): 4.670 8.069 9.798
angles (deg): 105.78 90.00 90.00
Element x y z (fractional)
Ir (0.250, 0.950, 0.600)
Ir (0.750, 0.050, 0.400)
Ta (0.250, 0.245, 0.502)
Ta (0.750, 0.350, 0.304)
Ta (0.250, 0.051, 0.898)
Ta (0.250, 0.650, 0.696)
Ta (0.750, 0.851, 0.799)
Ta (0.750, 0.755, 0.498)
Ta (0.750, 0.548, 0.897)
Ta (0.250, 0.853, 0.305)
Ta (0.750, 0.147, 0.695)
Ta (0.250, 0.452, 0.103)
Ta (0.250, 0.149, 0.201)
Ta (0.750, 0.949, 0.102)
Nb (0.750, 0.451, 0.601)
Nb (0.750, 0.246, 0.998)
Nb (0.250, 0.549, 0.399)
Nb (0.250, 0.349, 0.800)
Nb (0.250, 0.754, 0.002)
Nb (0.750, 0.651, 0.200)

=====

Computed, not measured: a geometry-optimized Ta2NbIr2 structure at the GGA-PBE level of DFT.

Energy relative to the lowest polymorph listed for this composition = 0.078 eV per atom
Total DFT energy (no corrections) = -0.78020 Ry per atom
Energy relative to the elements = -0.3157 eV per atom
Space-group type = P4/mbm, No. 127

a b c (Å): 7.693 7.693 2.926
angles (deg): 90.00 90.00 90.00
Element x y z (fractional)
Nb (0.500, 0.500, 0.000)
Nb (0.000, 0.000, 0.000)
Ta (0.342, 0.842, 0.000)
Ta (0.658, 0.158, 0.000)
Ta (0.842, 0.658, 0.000)
Ta (0.158, 0.342, 0.000)
Ir (0.360, 0.140, 0.500)
Ir (0.140, 0.640, 0.500)
Ir (0.860, 0.360, 0.500)
Ir (0.640, 0.860, 0.500)

=====

Computed, not measured: a geometry-optimized Ta5Nb12Ir3 structure at the GGA-PBE level of DFT.

Total DFT energy (no corrections) = -0.66616 Ry per atom
Energy relative to the elements = 1.2706 eV per atom
Space-group type = Ia-3d, No. 230

a b c (Å): 13.294 13.294 13.294
angles (deg): 109.47 109.47 109.47
Element x y z (fractional)
Ta (0.125, 0.375, 0.250)
Ta (0.500, 0.000, 0.000)
Ta (0.375, 0.250, 0.125)
Ta (0.500, 0.500, 0.000)
Ta (0.000, 0.500, 0.500)
Ta (0.625, 0.750, 0.875)
Ta (0.375, 0.125, 0.750)
Ta (0.250, 0.375, 0.625)
Ta (0.125, 0.750, 0.375)
Ta (0.875, 0.250, 0.625)
Ta (0.875, 0.625, 0.750)
Ta (0.750, 0.125, 0.875)
Ta (0.500, 0.000, 0.500)
Ta (0.750, 0.625, 0.375)
Ta (0.000, 0.000, 0.000)
Ta (0.625, 0.875, 0.250)
Ta (0.500, 0.500, 0.500)
Ta (0.000, 0.000, 0.500)
Ta (0.000, 0.500, 0.000)
Ta (0.250, 0.875, 0.125)
Nb (0.838, 0.932, 0.070)
Nb (0.862, 0.595, 0.932)
Nb (0.233, 0.570, 0.638)
Nb (0.905, 0.838, 0.767)
Nb (0.267, 0.862, 0.930)
Nb (0.362, 0.432, 0.095)
Nb (0.430, 0.767, 0.862)
Nb (0.405, 0.267, 0.338)
Nb (0.432, 0.070, 0.338)
Nb (0.905, 0.068, 0.638)
Nb (0.430, 0.662, 0.068)
Nb (0.405, 0.138, 0.568)
Nb (0.070, 0.638, 0.733)
Nb (0.568, 0.638, 0.405)
Nb (0.570, 0.233, 0.138)
Nb (0.767, 0.338, 0.905)
Nb (0.068, 0.905, 0.138)
Nb (0.638, 0.568, 0.905)
Nb (0.070, 0.432, 0.838)
Nb (0.932, 0.095, 0.862)
Nb (0.930, 0.362, 0.267)
Nb (0.362, 0.930, 0.767)
Nb (0.662, 0.430, 0.568)
Nb (0.138, 0.733, 0.570)
Nb (0.733, 0.595, 0.162)
Nb (0.267, 0.405, 0.838)
Nb (0.068, 0.162, 0.430)
Nb (0.733, 0.138, 0.070)
Nb (0.862, 0.267, 0.430)
Nb (0.568, 0.930, 0.662)
Nb (0.838, 0.905, 0.267)
Nb (0.162, 0.068, 0.930)
Nb (0.338, 0.570, 0.432)
Nb (0.138, 0.405, 0.068)
Nb (0.595, 0.862, 0.432)
Nb (0.233, 0.662, 0.095)
Nb (0.095, 0.932, 0.362)
Nb (0.432, 0.362, 0.595)
Nb (0.570, 0.338, 0.932)
Nb (0.095, 0.162, 0.233)
Nb (0.932, 0.838, 0.570)
Nb (0.595, 0.733, 0.662)
Nb (0.662, 0.233, 0.595)
Nb (0.338, 0.767, 0.405)
Nb (0.638, 0.070, 0.233)
Nb (0.930, 0.568, 0.162)
Nb (0.767, 0.430, 0.362)
Nb (0.162, 0.095, 0.733)
Ir (0.125, 0.250, 0.875)
Ir (0.625, 0.375, 0.750)
Ir (0.250, 0.625, 0.875)
Ir (0.750, 0.375, 0.125)
Ir (0.750, 0.875, 0.625)
Ir (0.875, 0.750, 0.125)
Ir (0.375, 0.625, 0.250)
Ir (0.375, 0.750, 0.625)
Ir (0.250, 0.125, 0.375)
Ir (0.625, 0.250, 0.375)
Ir (0.875, 0.125, 0.250)
Ir (0.125, 0.875, 0.750)

=====

Computed, not measured: a geometry-optimized TaNb3Ir structure at the GGA-PBE level of DFT.

Energy relative to the lowest polymorph listed for this composition = 1.615 eV per atom
Total DFT energy (no corrections) = -0.62399 Ry per atom
Energy relative to the elements = 1.6948 eV per atom
Space-group type = Pm-3m, No. 221

a b c (Å): 4.796 4.796 4.796
angles (deg): 90.00 90.00 90.00
Element x y z (fractional)
Nb (0.000, 0.500, 0.000)
Nb (0.500, 0.000, 0.000)
Nb (0.000, 0.000, 0.500)
Ta (0.000, 0.000, 0.000)
Ir (0.500, 0.500, 0.500)

=====

Computed, not measured: a geometry-optimized Ta4Nb5Ir structure at the GGA-PBE level of DFT.

Total DFT energy (no corrections) = -0.77429 Ry per atom
Energy relative to the elements = 0.1272 eV per atom
Space-group type = P-1, No. 2

a b c (Å): 4.988 5.536 8.322
angles (deg): 113.70 116.92 75.31
Element x y z (fractional)
Ta (0.338, 0.066, 0.650)
Ta (0.977, 0.220, 0.952)
Ta (0.023, 0.780, 0.048)
Ta (0.662, 0.934, 0.350)
Nb (0.025, 0.720, 0.654)
Nb (0.500, 0.500, 0.000)
Nb (0.675, 0.421, 0.657)
Nb (0.975, 0.280, 0.346)
Nb (0.325, 0.579, 0.343)
Ir (0.500, 0.000, 0.000)

=====

Computed, not measured: a geometry-optimized Ta8Nb3Ir2 structure at the GGA-PBE level of DFT.

Total DFT energy (no corrections) = -0.81169 Ry per atom
Energy relative to the elements = -0.0627 eV per atom
Space-group type = P-1, No. 2

a b c (Å): 6.285 8.256 8.706
angles (deg): 69.64 34.65 65.47
Element x y z (fractional)
Nb (0.000, 0.500, 0.500)
Nb (0.277, 0.018, 0.943)
Nb (0.723, 0.982, 0.057)
Ta (0.268, 0.660, 0.988)
Ta (0.505, 0.815, 0.511)
Ta (0.047, 0.868, 0.396)
Ta (0.953, 0.132, 0.604)
Ta (0.495, 0.185, 0.489)
Ta (0.732, 0.340, 0.012)
Ta (0.840, 0.708, 0.846)
Ta (0.160, 0.292, 0.154)
Ir (0.617, 0.581, 0.274)
Ir (0.383, 0.419, 0.726)

=====

Computed, not measured: a geometry-optimized Ta6NbIr structure at the GGA-PBE level of DFT.

Total DFT energy (no corrections) = -0.84296 Ry per atom
Energy relative to the elements = -0.2133 eV per atom
Space-group type = Cmmm, No. 65

a b c (Å): 4.627 5.675 5.675
angles (deg): 109.30 90.00 90.00
Element x y z (fractional)
Ta (0.000, 0.873, 0.127)
Ta (0.000, 0.377, 0.623)
Ta (0.000, 0.876, 0.626)
Ta (0.500, 0.625, 0.875)
Ta (0.000, 0.374, 0.124)
Ta (0.500, 0.125, 0.375)
Nb (0.500, 0.625, 0.375)
Ir (0.500, 0.125, 0.875)

=====

Computed, not measured: a geometry-optimized TaNb2Ir2 structure at the GGA-PBE level of DFT.

Energy relative to the lowest polymorph listed for this composition = 0.000 eV per atom
Total DFT energy (no corrections) = -0.75358 Ry per atom
Energy relative to the elements = -0.3102 eV per atom
Space-group type = P4/mbm, No. 127

a b c (Å): 7.586 7.586 2.995
angles (deg): 90.00 90.00 90.00
Element x y z (fractional)
Ir (0.131, 0.369, 0.000)
Ir (0.369, 0.869, 0.000)
Ir (0.869, 0.631, 0.000)
Ir (0.631, 0.131, 0.000)
Ta (0.500, 0.500, 0.000)
Ta (0.000, 0.000, 0.000)
Nb (0.668, 0.832, 0.500)
Nb (0.168, 0.668, 0.500)
Nb (0.832, 0.332, 0.500)
Nb (0.332, 0.168, 0.500)

=====

Computed, not measured: a geometry-optimized TaNb4Ir5 structure at the GGA-PBE level of DFT.

Total DFT energy (no corrections) = -0.74787 Ry per atom
Energy relative to the elements = -0.5316 eV per atom
Space-group type = P4/mmm, No. 123

a b c (Å): 2.886 2.886 19.380
angles (deg): 90.00 90.00 90.00
Element x y z (fractional)
Ir (0.500, 0.500, 0.300)
Ir (0.500, 0.500, 0.500)
Ir (0.500, 0.500, 0.098)
Ir (0.500, 0.500, 0.902)
Ir (0.500, 0.500, 0.700)
Nb (0.000, 0.000, 0.600)
Nb (0.000, 0.000, 0.200)
Nb (0.000, 0.000, 0.800)
Nb (0.000, 0.000, 0.400)
Ta (0.000, 0.000, 0.000)